# 1
# PBE EuTmCuSn, relaxed
# E_tot, eV per cell: -97.8
# Crystal system: cubic
data_EuTmCuSn
_symmetry_space_group_name_H-M 'F -4 3 m'
_symmetry_Int_Tables_number 216
_symmetry_space_group_name_Hall 'F -4 2 3'
_cell_length_a 7.393
_cell_length_b 7.393
_cell_length_c 7.393
_cell_angle_alpha 90.00
_cell_angle_beta 90.00
_cell_angle_gamma 90.00
loop_
_atom_site_label
_atom_site_type_symbol
_atom_site_fract_x
_atom_site_fract_y
_atom_site_fract_z
Eu1 Eu 0.000 0.000 0.000
Tm1 Tm 0.000 0.000 0.500
Cu1 Cu 0.250 0.250 0.750
Sn1 Sn 0.250 0.250 0.250

=====

# 2
# PBE EuZnCuSn, relaxed
# E_tot, eV per cell: -83.0
# Crystal system: cubic
data_EuZnCuSn
_symmetry_space_group_name_H-M 'F -4 3 m'
_symmetry_Int_Tables_number 216
_symmetry_space_group_name_Hall 'F -4 2 3'
_cell_length_a 6.927
_cell_length_b 6.927
_cell_length_c 6.927
_cell_angle_alpha 90.00
_cell_angle_beta 90.00
_cell_angle_gamma 90.00
loop_
_atom_site_label
_atom_site_type_symbol
_atom_site_fract_x
_atom_site_fract_y
_atom_site_fract_z
Eu1 Eu 0.000 0.000 0.000
Zn1 Zn 0.250 0.250 0.750
Cu1 Cu 0.250 0.250 0.250
Sn1 Sn 0.000 0.000 0.500

=====

# 3
# PBE SrEuCu2, relaxed
# Energy above the most stable polymorph in this dataset, eV/atom: 0.0000
# Crystal system: tetragonal
data_SrEuCu2
_symmetry_space_group_name_H-M 'P 4/m m m'
_symmetry_Int_Tables_number 123
_symmetry_space_group_name_Hall '-P 4 2'
_cell_length_a 3.724
_cell_length_b 3.724
_cell_length_c 7.341
_cell_angle_alpha 90.00
_cell_angle_beta 90.00
_cell_angle_gamma 90.00
loop_
_atom_site_label
_atom_site_type_symbol
_atom_site_fract_x
_atom_site_fract_y
_atom_site_fract_z
Sr1 Sr 0.000 0.000 0.000
Eu1 Eu 0.000 0.000 0.500
Cu1 Cu 0.500 0.500 0.279

=====

# 4
# PBE SrEu2Cu, relaxed
# Energy above the most stable polymorph in this dataset, eV/atom: 0.0431
# Crystal system: trigonal
data_SrEu2Cu
_symmetry_space_group_name_H-M 'R -3 m'
_symmetry_Int_Tables_number 166
_symmetry_space_group_name_Hall '-R 3 2"'
_cell_length_a 4.2457
_cell_length_b 4.2457
_cell_length_c 30.8161
_cell_angle_alpha 90.00
_cell_angle_beta 90.00
_cell_angle_gamma 120.00
loop_
_atom_site_label
_atom_site_type_symbol
_atom_site_fract_x
_atom_site_fract_y
_atom_site_fract_z
Sr1 Sr 0.0000 0.0000 0.0000
Eu1 Eu 0.0000 0.0000 0.2214
Cu1 Cu 0.0000 0.0000 0.5000

=====

# 5
# PBE SrEuCu4, relaxed
# E_tot, eV per cell: -112.9
# Crystal system: cubic
data_SrEuCu4
_symmetry_space_group_name_H-M 'F -4 3 m'
_symmetry_Int_Tables_number 216
_symmetry_space_group_name_Hall 'F -4 2 3'
_cell_length_a 7.715
_cell_length_b 7.715
_cell_length_c 7.715
_cell_angle_alpha 90.00
_cell_angle_beta 90.00
_cell_angle_gamma 90.00
loop_
_atom_site_label
_atom_site_type_symbol
_atom_site_fract_x
_atom_site_fract_y
_atom_site_fract_z
Sr1 Sr 0.000 0.000 0.000
Eu1 Eu 0.250 0.250 0.750
Cu1 Cu 0.125 0.125 0.375

=====

# 6
# PBE SrEu2Cu, relaxed
# Energy above the most stable polymorph in this dataset, eV/atom: 0.0000
# Crystal system: tetragonal
data_SrEu2Cu
_symmetry_space_group_name_H-M 'P 4/m m m'
_symmetry_Int_Tables_number 123
_symmetry_space_group_name_Hall '-P 4 2'
_cell_length_a 3.797
_cell_length_b 3.797
_cell_length_c 9.806
_cell_angle_alpha 90.00
_cell_angle_beta 90.00
_cell_angle_gamma 90.00
loop_
_atom_site_label
_atom_site_type_symbol
_atom_site_fract_x
_atom_site_fract_y
_atom_site_fract_z
Sr1 Sr 0.000 0.000 0.000
Eu1 Eu 0.500 0.500 0.325
Cu1 Cu 0.000 0.000 0.500

=====

# 7
# PBE Sr2EuCu, relaxed
# Energy above the most stable polymorph in this dataset, eV/atom: 0.1413
# Crystal system: trigonal
data_Sr2EuCu
_symmetry_space_group_name_H-M 'R -3 m'
_symmetry_Int_Tables_number 166
_symmetry_space_group_name_Hall '-R 3 2"'
_cell_length_a 4.2075
_cell_length_b 4.2075
_cell_length_c 34.7383
_cell_angle_alpha 90.00
_cell_angle_beta 90.00
_cell_angle_gamma 120.00
loop_
_atom_site_label
_atom_site_type_symbol
_atom_site_fract_x
_atom_site_fract_y
_atom_site_fract_z
Sr1 Sr 0.0000 0.0000 0.1137
Eu1 Eu 0.0000 0.0000 0.0000
Cu1 Cu 0.0000 0.0000 0.5000

=====

# 8
# PBE Sr2EuCu, relaxed
# Energy above the most stable polymorph in this dataset, eV/atom: 0.0000
# Crystal system: tetragonal
data_Sr2EuCu
_symmetry_space_group_name_H-M 'P 4/m m m'
_symmetry_Int_Tables_number 123
_symmetry_space_group_name_Hall '-P 4 2'
_cell_length_a 3.868
_cell_length_b 3.868
_cell_length_c 10.039
_cell_angle_alpha 90.00
_cell_angle_beta 90.00
_cell_angle_gamma 90.00
loop_
_atom_site_label
_atom_site_type_symbol
_atom_site_fract_x
_atom_site_fract_y
_atom_site_fract_z
Sr1 Sr 0.000 0.000 0.182
Eu1 Eu 0.500 0.500 0.500
Cu1 Cu 0.500 0.500 0.000